1.
FeTe2MoRh: relaxed, GGA-PBEsol.

Summary:
E_tot	-5.78	eV per atom
ΔE_f (raw)	1.400	eV per atom

a b c (Å): 5.1033 5.1033 4.6490
angles (deg): 90.00 90.00 90.00
Space group P4/mmm (No. 123)
Unique sites:
Fe: 0.0000 0.0000 0.0000 (multiplicity 1)
Te: 0.0000 0.5000 0.5000 (multiplicity 2)
Mo: 0.5000 0.5000 0.0000 (multiplicity 1)
Rh: 0.5000 0.5000 0.5000 (multiplicity 1)



2.
FeMo2Ru: relaxed, GGA-PBEsol.

Summary:
offset from the most stable computed form	0.0000	eV/atom
E_tot	-10.56	eV per atom
formation energy from the elements	0.109	eV per atom

a b c (Å): 3.7958 3.7958 7.5386
angles (deg): 90.00 90.00 90.00
Space group I4/mmm (No. 139)
Unique sites:
Fe: 0.0000 0.0000 0.0000 (multiplicity 2)
Mo: 0.0000 0.5000 0.2500 (multiplicity 4)
Ru: 0.0000 0.0000 0.5000 (multiplicity 2)



3.
FeMo2Ru: relaxed, GGA-PBEsol.

Summary:
offset from the most stable computed form	0.0638	eV/atom
E_tot	-10.49	eV per atom
formation energy from the elements	0.173	eV per atom

a b c (Å): 3.7310 3.7383 7.8380
angles (deg): 90.00 90.00 90.00
Space group Cmm2 (No. 35)
Unique sites:
Fe: 0.0000 0.0000 0.0000 (multiplicity 2)
Mo: 0.0000 0.0000 0.4720 (multiplicity 2)
Mo: 0.0000 0.5000 0.7601 (multiplicity 2)
Ru: 0.0000 0.5000 0.2148 (multiplicity 2)



4.
FeMo2Ru: relaxed, GGA-PBEsol.

Summary:
offset from the most stable computed form	0.0597	eV/atom
E_tot	-10.50	eV per atom
formation energy from the elements	0.169	eV per atom

a b c (Å): 3.0738 3.0738 5.8459
angles (deg): 90.00 90.00 90.00
Space group P4mm (No. 99)
Unique sites:
Fe: 0.0000 0.0000 0.0000 (multiplicity 1)
Mo: 0.0000 0.0000 0.4929 (multiplicity 1)
Mo: 0.5000 0.5000 0.2137 (multiplicity 1)
Ru: 0.5000 0.5000 0.7417 (multiplicity 1)



5.
Fe2MoRu: relaxed, GGA-PBEsol.

Summary:
E_tot	-9.87	eV per atom
formation energy from the elements	0.095	eV per atom

a b c (Å): 3.9724 2.5881 9.4896
angles (deg): 90.00 90.00 90.00
Space group Amm2 (No. 38)
Unique sites:
Fe: 0.0000 0.0000 0.0000 (multiplicity 2)
Fe: 0.5000 0.0000 0.1230 (multiplicity 2)
Mo: 0.0000 0.0000 0.7364 (multiplicity 2)
Ru: 0.5000 0.0000 0.4000 (multiplicity 2)



6.
Fe2MoRu: relaxed, GGA-PBEsol.

Summary:
E_tot	-9.91	eV per atom
formation energy from the elements	0.057	eV per atom

a b c (Å): 3.6658 3.6658 3.5994
angles (deg): 90.00 90.00 90.00
Space group P4/mmm (No. 123)
Unique sites:
Fe: 0.0000 0.5000 0.0000 (multiplicity 2)
Mo: 0.0000 0.0000 0.5000 (multiplicity 1)
Ru: 0.5000 0.5000 0.5000 (multiplicity 1)



7.
FeMo2Ru: relaxed, GGA-PBEsol.

Summary:
offset from the most stable computed form	0.0206	eV/atom
E_tot	-10.54	eV per atom
formation energy from the elements	0.130	eV per atom

a b c (Å): 5.3837 7.4841 2.7012
angles (deg): 90.00 90.00 90.00
Space group Cmmm (No. 65)
Unique sites:
Fe: 0.0000 0.0000 0.0000 (multiplicity 2)
Mo: 0.2500 0.2500 0.5000 (multiplicity 4)
Ru: 0.0000 0.5000 0.0000 (multiplicity 2)



8.
Fe2SbMo: relaxed, GGA-PBEsol.

Summary:
E_tot	-8.24	eV per atom
ΔE_f (raw)	0.328	eV per atom

a b c (Å): 8.3671 3.0024 4.6821
angles (deg): 90.00 100.27 90.00
Space group C2/m (No. 12)
Unique sites:
Fe: 0.2469 0.0000 0.2210 (multiplicity 4)
Sb: 0.0000 0.0000 0.5000 (multiplicity 2)
Mo: 0.0000 0.5000 0.0000 (multiplicity 2)



9.
Fe2SbMo: relaxed, GGA-PBEsol.

Summary:
E_tot	-8.22	eV per atom
ΔE_f (raw)	0.344	eV per atom

a b c (Å): 2.8366 4.1123 5.0645
angles (deg): 90.00 97.73 90.00
Space group Pm (No. 6)
Unique sites:
Fe: 0.0000 0.0000 0.0000 (multiplicity 1)
Fe: 0.3040 0.5000 0.8053 (multiplicity 1)
Sb: 0.3037 0.0000 0.5169 (multiplicity 1)
Mo: 0.7159 0.5000 0.2458 (multiplicity 1)



10.
Fe2SbMo: relaxed, GGA-PBEsol.

Summary:
E_tot	-8.34	eV per atom
ΔE_f (raw)	0.225	eV per atom

a b c (Å): 3.2640 4.1119 8.3235
angles (deg): 90.00 90.00 90.00
Space group Imm2 (No. 44)
Unique sites:
Fe: 0.0000 0.0000 0.0000 (multiplicity 2)
Fe: 0.0000 0.5000 0.2719 (multiplicity 2)
Sb: 0.0000 0.0000 0.5239 (multiplicity 2)
Mo: 0.0000 0.5000 0.7609 (multiplicity 2)



11.
Fe2SbMo: relaxed, GGA-PBEsol.

Summary:
E_tot	-8.29	eV per atom
ΔE_f (raw)	0.272	eV per atom

a b c (Å): 3.0900 3.0900 5.9567
angles (deg): 90.00 90.00 90.00
Space group P4mm (No. 99)
Unique sites:
Fe: 0.0000 0.0000 0.0000 (multiplicity 1)
Fe: 0.5000 0.5000 0.2100 (multiplicity 1)
Sb: 0.5000 0.5000 0.7513 (multiplicity 1)
Mo: 0.0000 0.0000 0.4499 (multiplicity 1)



12.
FeSbMo: relaxed, GGA-PBEsol.

Summary:
E_tot	-8.10	eV per atom
ΔE_f (raw)	0.326	eV per atom

a b c (Å): 4.2600 4.2600 2.8809
angles (deg): 90.00 90.00 120.00
Space group P3m1 (No. 156)
Unique sites:
Fe: 0.0000 0.0000 0.0000 (multiplicity 1)
Sb: 0.6667 0.3333 0.0042 (multiplicity 1)
Mo: 0.3333 0.6667 0.5035 (multiplicity 1)



13.
Fe2SbMo: relaxed, GGA-PBEsol.

Summary:
E_tot	-8.35	eV per atom
ΔE_f (raw)	0.218	eV per atom

a b c (Å): 3.9405 3.9405 6.9251
angles (deg): 90.00 90.00 90.00
Space group I4/mmm (No. 139)
Unique sites:
Fe: 0.0000 0.5000 0.2500 (multiplicity 4)
Sb: 0.0000 0.0000 0.0000 (multiplicity 2)
Mo: 0.0000 0.0000 0.5000 (multiplicity 2)



14.
FeSb2Mo: relaxed, GGA-PBEsol.

Summary:
offset from the most stable computed form	0.0000	eV/atom
E_tot	-7.04	eV per atom
ΔE_f (raw)	0.419	eV per atom

a b c (Å): 8.3116 3.1888 5.4147
angles (deg): 90.00 103.42 90.00
Space group C2/m (No. 12)
Unique sites:
Fe: 0.0000 0.0000 0.0000 (multiplicity 2)
Sb: 0.2456 0.5000 0.2418 (multiplicity 4)
Mo: 0.0000 0.5000 0.5000 (multiplicity 2)



15.
FeSbMo2: relaxed, GGA-PBEsol.

Summary:
E_tot	-9.05	eV per atom
ΔE_f (raw)	0.217	eV per atom

a b c (Å): 3.3004 4.3693 8.4368
angles (deg): 90.00 90.00 90.00
Space group Imm2 (No. 44)
Unique sites:
Fe: 0.0000 0.0000 0.0000 (multiplicity 2)
Sb: 0.0000 0.5000 0.7381 (multiplicity 2)
Mo: 0.0000 0.0000 0.5031 (multiplicity 2)
Mo: 0.0000 0.5000 0.2567 (multiplicity 2)



16.
FeSbMo2: relaxed, GGA-PBEsol.

Summary:
E_tot	-9.03	eV per atom
ΔE_f (raw)	0.233	eV per atom

a b c (Å): 3.2777 3.2777 5.7803
angles (deg): 90.00 90.00 90.00
Space group P4mm (No. 99)
Unique sites:
Fe: 0.0000 0.0000 0.0000 (multiplicity 1)
Sb: 0.5000 0.5000 0.2464 (multiplicity 1)
Mo: 0.0000 0.0000 0.5293 (multiplicity 1)
Mo: 0.5000 0.5000 0.7675 (multiplicity 1)



17.
FeSbMo2: relaxed, GGA-PBEsol.

Summary:
E_tot	-8.74	eV per atom
ΔE_f (raw)	0.522	eV per atom

a b c (Å): 2.9474 2.9474 25.2396
angles (deg): 90.00 90.00 120.00
Space group R-3m (No. 166, hexagonal axes)
Unique sites:
Fe: 0.0000 0.0000 0.0000 (multiplicity 3)
Sb: 0.0000 0.0000 0.5000 (multiplicity 3)
Mo: 0.0000 0.0000 0.2576 (multiplicity 6)



18.
FeSb2Mo: relaxed, GGA-PBEsol.

Summary:
offset from the most stable computed form	0.1169	eV/atom
E_tot	-6.93	eV per atom
ΔE_f (raw)	0.536	eV per atom

a b c (Å): 3.8398 3.8398 9.6603
angles (deg): 90.00 90.00 90.00
Space group I-4m2 (No. 119)
Unique sites:
Fe: 0.0000 0.0000 0.0000 (multiplicity 2)
Sb: 0.0000 0.0000 0.5000 (multiplicity 2)
Sb: 0.0000 0.5000 0.7500 (multiplicity 2)
Mo: 0.0000 0.5000 0.2500 (multiplicity 2)



19.
ScFe4Mo: relaxed, GGA-PBEsol.

Summary:
E_tot	-9.11	eV per atom
formation energy from the elements	-0.072	eV per atom

a b c (Å): 6.6841 6.6841 6.6841
angles (deg): 90.00 90.00 90.00
Space group F-43m (No. 216)
Unique sites:
Sc: 0.0000 0.0000 0.0000 (multiplicity 4)
Fe: 0.1253 0.1253 0.3747 (multiplicity 16)
Mo: 0.2500 0.2500 0.7500 (multiplicity 4)



20.
Sc2FeTcMo: relaxed, GGA-PBEsol.

Summary:
E_tot	-8.25	eV per atom
formation energy from the elements	0.788	eV per atom

a b c (Å): 4.5426 4.5426 4.3597
angles (deg): 90.00 90.00 90.00
Space group P4/mmm (No. 123)
Unique sites:
Sc: 0.0000 0.5000 0.0000 (multiplicity 2)
Fe: 0.0000 0.0000 0.0000 (multiplicity 1)
Tc: 0.5000 0.5000 0.5000 (multiplicity 1)
Mo: 0.0000 0.0000 0.5000 (multiplicity 1)



21.
Fe2MoSe: relaxed, GGA-PBEsol.

Summary:
E_tot	-8.18	eV per atom
ΔE_f (raw)	0.209	eV per atom

a b c (Å): 8.5788 2.9566 4.2520
angles (deg): 90.00 106.44 90.00
Space group Cm (No. 8)
Unique sites:
Fe: 0.0000 0.0000 0.0000 (multiplicity 2)
Fe: 0.2323 0.5000 0.1187 (multiplicity 2)
Mo: 0.2269 0.0000 0.6320 (multiplicity 2)
Se: 0.4768 0.0000 0.4322 (multiplicity 2)



22.
FeMoSe3: relaxed, GGA-PBEsol.

Summary:
E_tot	-5.73	eV per atom
ΔE_f (raw)	0.731	eV per atom

a b c (Å): 4.8522 4.8522 4.8522
angles (deg): 90.00 90.00 90.00
Space group Pm-3m (No. 221)
Unique sites:
Fe: 0.0000 0.0000 0.0000 (multiplicity 1)
Mo: 0.5000 0.5000 0.5000 (multiplicity 1)
Se: 0.0000 0.5000 0.5000 (multiplicity 3)



23.
Fe2MoSe: relaxed, GGA-PBEsol.

Summary:
E_tot	-8.16	eV per atom
ΔE_f (raw)	0.226	eV per atom

a b c (Å): 3.0247 4.1084 8.1315
angles (deg): 90.00 90.00 90.00
Space group Imm2 (No. 44)
Unique sites:
Fe: 0.0000 0.0000 0.0000 (multiplicity 2)
Fe: 0.0000 0.5000 0.2475 (multiplicity 2)
Mo: 0.0000 0.5000 0.7818 (multiplicity 2)
Se: 0.0000 0.0000 0.5281 (multiplicity 2)



24.
Fe2MoSe: relaxed, GGA-PBEsol.

Summary:
E_tot	-8.08	eV per atom
ΔE_f (raw)	0.304	eV per atom

a b c (Å): 2.9099 2.9099 22.8444
angles (deg): 90.00 90.00 120.00
Space group R3m (No. 160, hexagonal axes)
Unique sites:
Fe: 0.0000 0.0000 0.0000 (multiplicity 3)
Fe: 0.0000 0.0000 0.2575 (multiplicity 3)
Mo: 0.0000 0.0000 0.5027 (multiplicity 3)
Se: 0.0000 0.0000 0.7516 (multiplicity 3)



25.
FeMoSe2: relaxed, GGA-PBEsol.

Summary:
offset from the most stable computed form	0.2537	eV/atom
E_tot	-6.99	eV per atom
ΔE_f (raw)	0.115	eV per atom

a b c (Å): 4.3036 4.3036 3.0885
angles (deg): 90.00 90.00 90.00
Space group P4/mmm (No. 123)
Unique sites:
Fe: 0.0000 0.0000 0.0000 (multiplicity 1)
Mo: 0.5000 0.5000 0.0000 (multiplicity 1)
Se: 0.0000 0.5000 0.5000 (multiplicity 2)



26.
FeMoSe2: relaxed, GGA-PBEsol.

Summary:
offset from the most stable computed form	0.0000	eV/atom
E_tot	-7.25	eV per atom
ΔE_f (raw)	-0.138	eV per atom

a b c (Å): 2.9956 2.9956 7.4449
angles (deg): 90.00 90.00 90.00
Space group P4mm (No. 99)
Unique sites:
Fe: 0.0000 0.0000 0.0000 (multiplicity 1)
Mo: 0.5000 0.5000 0.2346 (multiplicity 1)
Se: 0.0000 0.0000 0.4309 (multiplicity 1)
Se: 0.5000 0.5000 0.8511 (multiplicity 1)



27.
FeMoSe2: relaxed, GGA-PBEsol.

Summary:
offset from the most stable computed form	0.1727	eV/atom
E_tot	-7.07	eV per atom
ΔE_f (raw)	0.034	eV per atom

a b c (Å): 3.1195 3.1195 21.8995
angles (deg): 90.00 90.00 120.00
Space group R-3m (No. 166, hexagonal axes)
Unique sites:
Fe: 0.0000 0.0000 0.0000 (multiplicity 3)
Mo: 0.0000 0.0000 0.5000 (multiplicity 3)
Se: 0.0000 0.0000 0.2514 (multiplicity 6)



28.
FeMoSe2: relaxed, GGA-PBEsol.

Summary:
offset from the most stable computed form	0.2648	eV/atom
E_tot	-6.98	eV per atom
ΔE_f (raw)	0.126	eV per atom

a b c (Å): 4.0912 3.0113 5.0731
angles (deg): 90.00 111.94 90.00
Space group P2/m (No. 10)
Unique sites:
Fe: 0.0000 0.0000 0.0000 (multiplicity 1)
Mo: 0.5000 0.5000 0.5000 (multiplicity 1)
Se: 0.0000 0.0000 0.5000 (multiplicity 1)
Se: 0.5000 0.5000 0.0000 (multiplicity 1)



29.
FeSiMo2: relaxed, GGA-PBEsol.

Summary:
E_tot	-9.72	eV per atom
ΔE_f (raw)	-0.159	eV per atom

a b c (Å): 2.7160 2.7160 7.0220
angles (deg): 90.00 90.00 90.00
Space group P4mm (No. 99)
Unique sites:
Fe: 0.0000 0.0000 0.0000 (multiplicity 1)
Si: 0.5000 0.5000 0.8196 (multiplicity 1)
Mo: 0.0000 0.0000 0.5599 (multiplicity 1)
Mo: 0.5000 0.5000 0.2482 (multiplicity 1)



30.
FeSiMo2: relaxed, GGA-PBEsol.

Summary:
E_tot	-9.74	eV per atom
ΔE_f (raw)	-0.176	eV per atom

a b c (Å): 3.0981 4.1784 8.1830
angles (deg): 90.00 90.00 90.00
Space group Imm2 (No. 44)
Unique sites:
Fe: 0.0000 0.0000 0.0000 (multiplicity 2)
Si: 0.0000 0.5000 0.2735 (multiplicity 2)
Mo: 0.0000 0.0000 0.5100 (multiplicity 2)
Mo: 0.0000 0.5000 0.7519 (multiplicity 2)



no.,total magnetic moment (μB per formula unit)
1,5.2
2,1.2
3,1.6
4,2.1
5,1.4
6,0.7
7,1.1
8,3.4
9,3.8
10,3.4
11,3.7
12,0.0
13,0.6
14,1.5
15,1.9
16,2.6
17,1.6
18,1.6
19,4.3
20,0.7
21,2.8
22,4.0
23,2.3
24,4.9
25,1.5
26,1.3
27,2.4
28,0.0
29,0.0
30,1.6